Material: TbAsO4F
Method: DFT, PBE
State: optimized geometry

Results
As for the volume: 447.42 Å³/cell. The energy relative to the elements, uncorrected comes out at -2129.1 meV per atom. Its crystal system is monoclinic. The calculation puts the uncorrected energy at -6.555 eV/atom.

```
data_TbAsO4F
_cell_length_a 9.543
_cell_length_b 7.248
_cell_length_c 6.771
_cell_angle_alpha 90.00
_cell_angle_beta 107.19
_cell_angle_gamma 90.00
_space_group_name_H-M_alt 'C 1 2/m 1'
_space_group_IT_number 12
loop_
_space_group_symop_operation_xyz
'x,y,z'
'-x,-y,-z'
'-x,y,-z'
'x,-y,z'
'x+1/2,y+1/2,z'
'-x+1/2,-y+1/2,-z'
'-x+1/2,y+1/2,-z'
'x+1/2,-y+1/2,z'
loop_
_atom_site_label
_atom_site_fract_x
_atom_site_fract_y
_atom_site_fract_z
_atom_site_occupancy
Tb1 0.201 0.000 0.103 1
As1 0.146 0.500 0.275 1
O1 0.041 0.500 0.782 1
O2 0.204 0.319 0.154 1
O3 0.222 0.500 0.535 1
F1 0.010 0.000 0.819 1
```